[1]
18
Lattice="8.090 0.000 0.000 4.045 7.006 0.000 4.045 2.335 6.605" Properties=species:S:1:pos:R:3 comment="RbPa2O6 GGA-PBE relaxed" dft_energy_ev_per_atom=-8.54 pbc="T T T"
Rb 8.090 4.671 3.303
Rb 12.135 7.006 4.954
Pa 2.022 1.168 0.826
Pa 4.045 4.671 0.826
Pa 4.045 2.335 4.128
Pa 6.067 1.168 0.826
O 5.601 3.234 5.335
O 10.579 6.108 1.270
O 5.601 6.108 1.270
O 8.090 7.545 5.335
O 5.601 3.234 0.381
O 4.045 0.539 0.381
O 10.579 3.234 5.335
O 2.489 1.437 2.922
O 5.601 1.437 2.922
O 4.045 4.132 2.922
O 8.090 1.796 1.270
O 2.489 3.234 0.381


[2]
10
Lattice="7.935 0.000 0.000 0.000 7.935 0.000 0.000 0.000 2.737" Properties=species:S:1:pos:R:3 comment="ZnGe2Pt2 GGA-PBE relaxed" e_form_mev_per_atom=-92 pbc="T T T"
Ge 2.900 6.868 0.000
Ge 6.868 5.035 0.000
Ge 5.035 1.067 0.000
Ge 1.067 2.900 0.000
Zn 0.000 0.000 0.000
Zn 3.968 3.968 0.000
Pt 1.294 5.261 1.368
Pt 5.261 6.641 1.368
Pt 6.641 2.674 1.368
Pt 2.674 1.294 1.368


[3]
12
Lattice="3.370 0.000 0.000 0.000 6.741 -0.021 0.000 0.036 8.861" Properties=species:S:1:pos:R:3 comment="TmTaH GGA-PBE relaxed" dft_energy_ev_per_atom=-6.68 pbc="T T T"
H 2.527 4.242 6.170
H 0.842 5.905 2.659
H 0.842 2.535 2.670
H 2.527 0.872 6.180
Tm 2.527 4.221 2.804
Tm 0.842 5.926 6.026
Tm 0.842 2.555 6.036
Tm 2.527 0.851 2.814
Ta 0.842 5.900 0.697
Ta 2.527 4.247 8.132
Ta 2.527 0.876 8.142
Ta 0.842 2.530 0.708


[4]
10
Lattice="6.565 0.000 0.000 0.000 6.565 0.000 0.000 0.000 3.180" Properties=species:S:1:pos:R:3 comment="TcNi2Mo2 GGA-PBE relaxed" e_form_mev_per_atom=127 pbc="T T T"
Ni 2.468 5.750 0.000
Ni 5.750 4.097 0.000
Ni 4.097 0.815 0.000
Ni 0.815 2.468 0.000
Mo 1.165 4.448 1.590
Mo 4.448 5.400 1.590
Mo 5.400 2.117 1.590
Mo 2.117 1.165 1.590
Tc 0.000 0.000 0.000
Tc 3.283 3.283 0.000


[5]
10
Lattice="-1.300 1.148 -4.121 -4.160 -1.342 0.939 -2.490 10.272 3.647" Properties=species:S:1:pos:R:3 comment="Ac2ZnSn3Ir4 GGA-PBE relaxed" e_form_mev_per_atom=-544 pbc="T T T"
Ac -1.287 3.200 -1.128
Ac -3.933 6.975 3.184
Zn -3.975 5.039 0.233
Sn -1.245 5.136 1.824
Sn -2.819 9.521 1.116
Sn -2.401 0.654 0.940
Ir -2.730 -0.097 -1.591
Ir 0.000 0.000 0.000
Ir -2.224 7.068 0.245
Ir -2.996 3.108 1.811


[6]
4
Lattice="-4.051 -1.716 -0.514 0.789 -2.369 1.691 -1.557 2.187 4.973" Properties=species:S:1:pos:R:3 comment="Tl2CoMo GGA-PBE relaxed" e_form_mev_per_atom=858 pbc="T T T"
Co -2.218 -0.903 1.409
Mo -2.602 -0.994 4.741
Tl 0.049 -0.164 0.163
Tl -0.433 0.074 3.169


[7]
9
Lattice="5.148 0.000 -0.187 0.000 7.379 0.000 -2.260 -3.689 7.822" Properties=species:S:1:pos:R:3 comment="Sm6AgHg2 GGA-PBE relaxed" e_form_mev_per_atom=-36 pbc="T T T"
Sm 0.102 1.829 2.548
Sm 2.785 -1.861 5.086
Sm 2.785 1.861 5.086
Sm 2.574 1.818 -0.093
Sm 0.102 5.550 2.548
Sm 2.574 5.561 -0.093
Ag 0.000 0.000 0.000
Hg 2.676 3.689 2.482
Hg 0.211 0.000 5.153


[8]
4
Lattice="4.855 0.000 0.000 2.428 4.205 0.000 2.428 1.402 3.964" Properties=species:S:1:pos:R:3 comment="LiPmTlRu GGA-PBE relaxed" e_form_mev_per_atom=-78 pbc="T T T"
Ru 4.855 2.803 1.982
Tl 7.283 4.205 2.973
Li 0.000 0.000 0.000
Pm 2.428 1.402 0.991